First-principles (GGA-PBE) data for a relaxed structure of Li2H6O, as listed in Alexandria via LeMat-Bulk.

DOS at the Fermi energy: 1.83 states/eV/f.u.
Total energy: -2.82 eV/atom

Lattice parameters (Å, degrees): 4.1029 4.1029 4.1029 60.00 60.00 60.00
Sites, in units of the cell vectors:
Li1 0.2500 0.2500 0.2500
Li2 0.7500 0.7500 0.7500
H1 0.1736 0.1736 0.8264
H2 0.1736 0.8264 0.1736
H3 0.1736 0.8264 0.8264
H4 0.8264 0.1736 0.1736
H5 0.8264 0.1736 0.8264
H6 0.8264 0.8264 0.1736
O1 0.5000 0.5000 0.5000

***

First-principles (GGA-PBE) data for a relaxed structure of LiH3O, as listed in Alexandria via LeMat-Bulk.

DOS at the Fermi energy: 1.17 states/eV/f.u.
Total energy: -3.48 eV/atom

Lattice parameters (Å, degrees): 6.1763 6.1763 5.3918 90.00 90.00 120.00
Sites, in units of the cell vectors:
Li1 0.0000 0.0000 0.0000
Li2 0.3333 0.6667 0.6667
Li3 0.6667 0.3333 0.3333
H1 0.1826 0.0913 0.5314
H2 0.2420 0.4840 0.1980
H3 0.2420 0.7580 0.1980
H4 0.5160 0.7580 0.1980
H5 0.5754 0.1507 0.8647
H6 0.5754 0.4246 0.8647
H7 0.8493 0.4246 0.8647
H8 0.9087 0.0913 0.5314
H9 0.9087 0.8174 0.5314
O1 0.0000 0.0000 0.6073
O2 0.3333 0.6667 0.2740
O3 0.6667 0.3333 0.9406

***

First-principles (GGA-PBE) data for a relaxed structure of Li2H2OsO6, as listed in Alexandria via LeMat-Bulk.

Total energy: -5.68 eV/atom

Lattice parameters (Å, degrees): 4.7374 4.7374 4.8855 90.00 90.00 120.00
Sites, in units of the cell vectors:
Li1 0.3333 0.6667 0.3980
Li2 0.6667 0.3333 0.6020
H1 0.3333 0.6667 0.8091
H2 0.6667 0.3333 0.1909
Os1 0.0000 0.0000 0.0000
O1 0.0589 0.3489 0.7779
O2 0.2900 0.9411 0.7779
O3 0.3489 0.2900 0.2221
O4 0.6511 0.7100 0.7779
O5 0.7100 0.0589 0.2221
O6 0.9411 0.6511 0.2221

***

First-principles (GGA-PBE) data for a relaxed structure of LiPHO2, as listed in Alexandria via LeMat-Bulk.

DOS at the Fermi energy: 1.51 states/eV/f.u.
Total energy: -3.29 eV/atom

Lattice parameters (Å, degrees): 3.4411 3.4411 4.5158 90.00 90.00 90.00
Sites, in units of the cell vectors:
Li1 0.0000 0.0000 0.0000
P1 0.0000 0.0000 0.5000
H1 0.5000 0.5000 0.5000
O1 0.0000 0.5000 0.0000
O2 0.5000 0.0000 0.0000

***

First-principles (GGA-PBE) data for a relaxed structure of LiPH2O4, as listed in Alexandria via LeMat-Bulk.

DOS at the Fermi energy: 0.00 states/eV/f.u.
Total energy: -5.88 eV/atom

Lattice parameters (Å, degrees): 4.0256 5.3315 7.1117 90.00 90.00 90.00
Sites, in units of the cell vectors:
Li1 0.0000 0.0000 0.0000
Li2 0.5000 0.5000 0.5000
P1 0.0000 0.5000 0.0000
P2 0.5000 0.0000 0.5000
H1 0.0000 0.1874 0.5000
H2 0.0000 0.8126 0.5000
H3 0.5000 0.3126 0.0000
H4 0.5000 0.6874 0.0000
O1 0.2457 0.3130 0.9007
O2 0.2457 0.6870 0.0993
O3 0.2543 0.1870 0.4007
O4 0.2543 0.8130 0.5993
O5 0.7457 0.1870 0.5993
O6 0.7457 0.8130 0.4007
O7 0.7543 0.3130 0.0993
O8 0.7543 0.6870 0.9007

***

First-principles (GGA-PBE) data for a relaxed structure of Li2P2H2O7, as listed in Alexandria via LeMat-Bulk.

DOS at the Fermi energy: 0.00 states/eV/f.u.
Total energy: -6.31 eV/atom

Lattice parameters (Å, degrees): 10.1469 10.1469 10.1469 104.12 104.12 104.12
Sites, in units of the cell vectors:
Li1 0.0000 0.3094 0.6906
Li2 0.0000 0.6906 0.3094
Li3 0.2626 0.2626 0.7139
Li4 0.2626 0.7139 0.2626
Li5 0.2861 0.7374 0.7374
Li6 0.3094 0.0000 0.6906
Li7 0.3094 0.6906 0.0000
Li8 0.6906 0.0000 0.3094
Li9 0.6906 0.3094 0.0000
Li10 0.7139 0.2626 0.2626
Li11 0.7374 0.2861 0.7374
Li12 0.7374 0.7374 0.2861
P1 0.0166 0.2029 0.3887
P2 0.0166 0.3887 0.2029
P3 0.2029 0.0166 0.3887
P4 0.2029 0.3887 0.0166
P5 0.3887 0.0166 0.2029
P6 0.3887 0.2029 0.0166
P7 0.6113 0.7971 0.9834
P8 0.6113 0.9834 0.7971
P9 0.7971 0.6113 0.9834
P10 0.7971 0.9834 0.6113
P11 0.9834 0.6113 0.7971
P12 0.9834 0.7971 0.6113
H1 0.2106 0.4724 0.5697
H2 0.2106 0.5697 0.4724
H3 0.4303 0.5276 0.7894
H4 0.4303 0.7894 0.5276
H5 0.4724 0.2106 0.5697
H6 0.4724 0.5697 0.2106
H7 0.5276 0.4303 0.7894
H8 0.5276 0.7894 0.4303
H9 0.5697 0.2106 0.4724
H10 0.5697 0.4724 0.2106
H11 0.7894 0.4303 0.5276
H12 0.7894 0.5276 0.4303
O1 0.0615 0.0615 0.3360
O2 0.0615 0.3360 0.0615
O3 0.0813 0.2989 0.2989
O4 0.0978 0.2816 0.5461
O5 0.0978 0.5461 0.2816
O6 0.1436 0.6608 0.8418
O7 0.1436 0.8418 0.6608
O8 0.1582 0.3392 0.8564
O9 0.1582 0.8564 0.3392
O10 0.2447 0.5726 0.5726
O11 0.2816 0.0978 0.5461
O12 0.2816 0.5461 0.0978
O13 0.2989 0.0813 0.2989
O14 0.2989 0.2989 0.0813
O15 0.3360 0.0615 0.0615
O16 0.3392 0.1582 0.8564
O17 0.3392 0.8564 0.1582
O18 0.4274 0.4274 0.7553
O19 0.4274 0.7553 0.4274
O20 0.4539 0.7184 0.9022
O21 0.4539 0.9022 0.7184
O22 0.5461 0.0978 0.2816
O23 0.5461 0.2816 0.0978
O24 0.5726 0.2447 0.5726
O25 0.5726 0.5726 0.2447
O26 0.6608 0.1436 0.8418
O27 0.6608 0.8418 0.1436
O28 0.6640 0.9385 0.9385
O29 0.7011 0.7011 0.9187
O30 0.7011 0.9187 0.7011
O31 0.7184 0.4539 0.9022
O32 0.7184 0.9022 0.4539
O33 0.7553 0.4274 0.4274
O34 0.8418 0.1436 0.6608
O35 0.8418 0.6608 0.1436
O36 0.8564 0.1582 0.3392
O37 0.8564 0.3392 0.1582
O38 0.9022 0.4539 0.7184
O39 0.9022 0.7184 0.4539
O40 0.9187 0.7011 0.7011
O41 0.9385 0.6640 0.9385
O42 0.9385 0.9385 0.6640

***

First-principles (GGA-PBE) data for a relaxed structure of LiPH2O4, as listed in Alexandria via LeMat-Bulk.

DOS at the Fermi energy: 0.00 states/eV/f.u.
Total energy: -6.09 eV/atom

Lattice parameters (Å, degrees): 6.4102 7.7077 6.9256 90.00 90.00 90.00
Sites, in units of the cell vectors:
Li1 0.0151 0.2244 0.0000
Li2 0.4849 0.7244 0.5000
Li3 0.5151 0.2756 0.0000
Li4 0.9849 0.7756 0.5000
P1 0.1962 0.5695 0.8255
P2 0.3038 0.0695 0.3255
P3 0.6962 0.9305 0.8255
P4 0.8038 0.4305 0.3255
H1 0.0064 0.8839 0.9403
H2 0.0325 0.6393 0.1129
H3 0.4675 0.1393 0.6129
H4 0.4936 0.3839 0.4403
H5 0.5064 0.6161 0.9403
H6 0.5325 0.8607 0.1129
H7 0.9675 0.3607 0.6129
H8 0.9936 0.1161 0.4403
O1 0.0707 0.4036 0.8022
O2 0.0799 0.0103 0.4075
O3 0.0987 0.6916 0.9885
O4 0.2241 0.6819 0.6485
O5 0.2759 0.1819 0.1485
O6 0.4013 0.1916 0.4885
O7 0.4201 0.5103 0.9075
O8 0.4293 0.9036 0.3022
O9 0.5707 0.0964 0.8022
O10 0.5799 0.4897 0.4075
O11 0.5987 0.8084 0.9885
O12 0.7241 0.8181 0.6485
O13 0.7759 0.3181 0.1485
O14 0.9013 0.3084 0.4885
O15 0.9201 0.9897 0.9075
O16 0.9293 0.5964 0.3022

***

First-principles (GGA-PBE) data for a relaxed structure of LiPHO2, as listed in Alexandria via LeMat-Bulk.

DOS at the Fermi energy: 2.47 states/eV/f.u.
Total energy: -4.04 eV/atom

Lattice parameters (Å, degrees): 3.9266 3.9266 2.8391 90.00 90.00 90.00
Sites, in units of the cell vectors:
Li1 0.0000 0.0000 0.0000
P1 0.5000 0.5000 0.0000
H1 0.5000 0.5000 0.5000
O1 0.0000 0.5000 0.5000
O2 0.5000 0.0000 0.5000

***

First-principles (GGA-PBE) data for a relaxed structure of LiPH2O3, as listed in Alexandria via LeMat-Bulk.

DOS at the Fermi energy: 0.00 states/eV/f.u.
Total energy: -5.80 eV/atom

Lattice parameters (Å, degrees): 11.2160 5.1227 5.2797 90.00 90.00 90.00
Sites, in units of the cell vectors:
Li1 0.0798 0.0095 0.0000
Li2 0.4202 0.5095 0.5000
Li3 0.5798 0.4905 0.0000
Li4 0.9202 0.9905 0.5000
P1 0.1569 0.3082 0.4847
P2 0.3431 0.8082 0.9847
P3 0.6569 0.1918 0.4847
P4 0.8431 0.6918 0.9847
H1 0.1345 0.5628 0.3972
H2 0.1614 0.4954 0.8588
H3 0.3386 0.9954 0.3588
H4 0.3655 0.0628 0.8972
H5 0.6345 0.9372 0.3972
H6 0.6614 0.0046 0.8588
H7 0.8386 0.5046 0.3588
H8 0.8655 0.4372 0.8972
O1 0.0723 0.1142 0.3628
O2 0.1254 0.3253 0.7806
O3 0.2103 0.7538 0.9453
O4 0.2897 0.2538 0.4453
O5 0.3746 0.8253 0.2806
O6 0.4277 0.6142 0.8628
O7 0.5723 0.3858 0.3628
O8 0.6254 0.1747 0.7806
O9 0.7103 0.7462 0.9453
O10 0.7897 0.2462 0.4453
O11 0.8746 0.6747 0.2806
O12 0.9277 0.8858 0.8628

***

First-principles (GGA-PBE) data for a relaxed structure of LiPH2O2, as listed in Alexandria via LeMat-Bulk.

DOS at the Fermi energy: 0.00 states/eV/f.u.
Total energy: -5.39 eV/atom

Lattice parameters (Å, degrees): 5.4511 5.4511 6.9216 105.61 105.61 59.78
Sites, in units of the cell vectors:
Li1 0.2500 0.7500 0.0000
Li2 0.7500 0.2500 0.0000
P1 0.1901 0.1901 0.7376
P2 0.8099 0.8099 0.2624
H1 0.0451 0.6345 0.3965
H2 0.3655 0.9549 0.6035
H3 0.6345 0.0451 0.3965
H4 0.9549 0.3655 0.6035
O1 0.0770 0.0770 0.8530
O2 0.3549 0.3549 0.8564
O3 0.6451 0.6451 0.1436
O4 0.9230 0.9230 0.1470

***

First-principles (GGA-PBE) data for a relaxed structure of LiSbPHO5, as listed in Alexandria via LeMat-Bulk.

DOS at the Fermi energy: 0.00 states/eV/f.u.
Total energy: -6.18 eV/atom

Lattice parameters (Å, degrees): 5.3083 5.8415 7.9771 105.42 107.12 98.30
Sites, in units of the cell vectors:
Li1 0.2366 0.4029 0.3355
Li2 0.7634 0.5971 0.6645
Sb1 0.5000 0.0000 0.0000
Sb2 0.5000 0.0000 0.5000
P1 0.1773 0.3719 0.7231
P2 0.8227 0.6281 0.2769
H1 0.1126 0.9563 0.1773
H2 0.8874 0.0437 0.8227
O1 0.1100 0.7223 0.4322
O2 0.1824 0.6356 0.8354
O3 0.2119 0.2009 0.8434
O4 0.2966 0.0704 0.2241
O5 0.3972 0.3738 0.6283
O6 0.6028 0.6262 0.3717
O7 0.7034 0.9296 0.7759
O8 0.7881 0.7991 0.1566
O9 0.8176 0.3644 0.1646
O10 0.8900 0.2777 0.5678

***

First-principles (GGA-PBE) data for a relaxed structure of LiSnPHO5, as listed in Alexandria via LeMat-Bulk.

DOS at the Fermi energy: 0.00 states/eV/f.u.
Total energy: -5.58 eV/atom

Lattice parameters (Å, degrees): 6.1398 6.1744 7.0528 111.97 97.39 103.67
Sites, in units of the cell vectors:
Li1 0.1895 0.0547 0.1526
Li2 0.8105 0.9453 0.8474
Sn1 0.0000 0.5000 0.0000
Sn2 0.5000 0.0000 0.5000
P1 0.2187 0.5164 0.5256
P2 0.7813 0.4836 0.4744
H1 0.4931 0.2578 0.9657
H2 0.5069 0.7422 0.0343
O1 0.0131 0.5246 0.6721
O2 0.1495 0.2092 0.9321
O3 0.2447 0.2599 0.4593
O4 0.2947 0.7762 0.1445
O5 0.3845 0.2818 0.0665
O6 0.6155 0.7182 0.9335
O7 0.7053 0.2238 0.8555
O8 0.7553 0.7401 0.5407
O9 0.8505 0.7908 0.0679
O10 0.9869 0.4754 0.3279